(1)
Below is a relaxed structure of HgOsNF2, with properties calculated at the PBE-GGA level.

Lattice parameters (Å, degrees): 4.4011 4.4011 4.2987 90.00 90.00 90.00
Each line ends with the local moment (μB).
Fractional coordinates of all 5 atoms:
N 0.0000 0.0000 0.5000  0.02
Hg 0.0000 0.0000 0.0000  -0.02
F 0.5000 0.0000 0.0000  0.05
F 0.0000 0.5000 0.0000  0.05
Os 0.5000 0.5000 0.5000  3.48

Summary:
* energy above the lowest structure with this stoichiometry: 1.550 eV per atom
* magnetic moment: 4.07 μB per formula unit
* formation energy without anion corrections: 1317.7 meV per atom
* E: -3.40 eV/atom

---

(2)
Below is a relaxed structure of Hg2OsNF, with properties calculated at the PBE-GGA level.

Lattice parameters (Å, degrees): 5.4143 3.8288 5.4143 90.00 90.00 90.00
Each line ends with the local moment (μB).
Fractional coordinates of all 5 atoms:
Hg 0.0000 0.0000 0.5000  0.01
Os 0.0000 0.5000 0.0000  0.33
N 0.5000 0.5000 0.5000  1.69
Hg 0.5000 0.0000 0.0000  0.03
F 0.0000 0.0000 0.0000  0.03

Summary:
* magnetic moment: 2.91 μB per formula unit
* formation energy without anion corrections: 1675.3 meV per atom
* E: -2.73 eV/atom

---

(3)
Below is a relaxed structure of HgOsNF2, with properties calculated at the PBE-GGA level.

Lattice parameters (Å, degrees): 4.3803 4.3803 3.7604 90.00 90.00 90.00
Each line ends with the local moment (μB).
Fractional coordinates of all 5 atoms:
Hg 0.5000 0.5000 0.5000  -0.01
F 0.5000 0.0000 0.0000  0.00
N 0.0000 0.0000 0.5000  0.03
F 0.0000 0.5000 0.0000  0.00
Os 0.0000 0.0000 0.0000  0.41

Summary:
* energy above the lowest structure with this stoichiometry: 0.000 eV per atom
* magnetic moment: 0.48 μB per formula unit
* formation energy without anion corrections: -232.7 meV per atom
* E: -4.95 eV/atom

---

(4)
Below is a relaxed structure of HgPN2F, with properties calculated at the PBE-GGA level.

Lattice parameters (Å, degrees): 4.2094 4.2094 4.2864 90.00 90.00 90.00
Fractional coordinates of all 5 atoms:
N 0.0000 0.5000 0.0000
P 0.5000 0.5000 0.5000
N 0.5000 0.0000 0.0000
F 0.0000 0.0000 0.5000
Hg 0.0000 0.0000 0.0000

Summary:
* energy above the lowest structure with this stoichiometry: 1.497 eV per atom
* magnetic moment: 0.00 μB per formula unit
* formation energy without anion corrections: 1890.1 meV per atom
* E: -2.96 eV/atom

---

Question: formation energy without anion corrections of number 2 (Hg2OsNF)?
Answer: 1675.3 meV per atom

---

Please write out number 1 again, unchanged.
Below is a relaxed structure of HgOsNF2, with properties calculated at the PBE-GGA level.

Lattice parameters (Å, degrees): 4.4011 4.4011 4.2987 90.00 90.00 90.00
Each line ends with the local moment (μB).
Fractional coordinates of all 5 atoms:
N 0.0000 0.0000 0.5000  0.02
Hg 0.0000 0.0000 0.0000  -0.02
F 0.5000 0.0000 0.0000  0.05
F 0.0000 0.5000 0.0000  0.05
Os 0.5000 0.5000 0.5000  3.48

Summary:
* energy above the lowest structure with this stoichiometry: 1.550 eV per atom
* magnetic moment: 4.07 μB per formula unit
* formation energy without anion corrections: 1317.7 meV per atom
* E: -3.40 eV/atom